No. 1
Density functional theory data (meta-GGA SCAN) for Al3NiSb at its PBEsol-relaxed geometry.

Cell lengths 4.542, 4.542, 4.542 Å; angles 90.00, 90.00, 90.00 degrees
Atoms (fractional coordinates):
Al 0.000 0.000 0.500
Al 0.000 0.500 0.000
Al 0.500 0.000 0.000
Ni 0.000 0.000 0.000
Sb 0.500 0.500 0.500

Properties
SG	Pm-3m, No. 221
magnetic moment	0.0	μB/f.u.
formation energy without anion corrections	-0.046	eV per atom
electronic total energy	-76.92	eV/f.u.

---

No. 2
Density functional theory data (meta-GGA SCAN) for Sc4AlNi at its PBEsol-relaxed geometry.

Cell lengths 5.509, 5.509, 5.509 Å; angles 60.00, 60.00, 60.00 degrees
Atoms (fractional coordinates):
Sc 0.125 0.125 0.125
Sc 0.125 0.125 0.625
Sc 0.125 0.625 0.125
Sc 0.625 0.125 0.125
Al 0.500 0.500 0.500
Ni 0.750 0.750 0.750

Properties
SG	F-43m, No. 216
formation energy	440	meV/atom
magnetic moment	0.0	μB/f.u.
electronic total energy	-78.23	eV/f.u.